Run i
Material: BaScPt2
Method: DFT, GGA-PBEsol
State: relaxed

Unit cell a=4.5370 b=5.5631 c=7.2831 alpha=90.00 beta=90.00 gamma=90.00
Last column: nearest neighbours and their distance in Å.
Space group Immm (No. 71)
Symmetry-distinct sites (fractional):
1 Ba 0.0000 0.0000 0.0000 x2  8 Pt 3.11-3.17
2 Sc 0.0000 0.0000 0.5000 x2  4 Pt 2.73
3 Pt 0.0000 0.5000 0.2074 x4  2 Sc 2.73, 1 Pt 3.02



Run ii
Material: BaScPt2
Method: DFT, GGA-PBEsol
State: relaxed

Unit cell a=4.2132 b=4.2132 c=9.5865 alpha=90.00 beta=90.00 gamma=90.00
Last column: nearest neighbours and their distance in Å.
Space group I-4m2 (No. 119)
Symmetry-distinct sites (fractional):
1 Ba 0.0000 0.0000 0.0000 x2  8 Pt 2.98-3.19, 4 Sc 3.19
2 Sc 0.0000 0.5000 0.7500 x2  8 Pt 2.98-3.19, 4 Ba 3.19
3 Pt 0.0000 0.0000 0.5000 x2  4 Ba 2.98, 4 Sc 3.19, 4 Pt 3.19
4 Pt 0.0000 0.5000 0.2500 x2  4 Sc 2.98, 4 Ba 3.19, 4 Pt 3.19



It is run i that is most stable; the runner-up trails by 179 meV/atom.